1.
In2OsSe | PBE | optimized geometry

Cell and atoms, written as POSCAR:
```
In2OsSe
1.0
3.099 -3.867 0.000
3.099 3.867 0.000
0.000 0.000 3.227
In Os Se
2 1 1
Cartesian
1.550 1.934 0.000
1.550 -1.934 0.000
0.000 0.000 1.613
3.099 0.000 1.613
```

As for the symmetry: Cmmm. For the electronic total energy, the calculation gives -4.60 eV per atom. The calculation puts the total magnetic moment at 0.00 μB per formula unit. The calculation puts the formation energy (no corrections) at 10.38 kcal/mol of atoms. Its density of states at the Fermi level is 0.477 states/eV per atom.

2.
Ca2Pr3Dy2 | PBE | optimized geometry

Cell and atoms, written as POSCAR:
```
Ca2Pr3Dy2
1.0
5.791 -2.604 0.000
5.791 2.604 0.000
-1.229 0.000 8.342
Ca Pr Dy
2 3 2
Cartesian
1.124 0.000 3.570
9.229 0.000 4.772
0.000 0.000 0.000
4.633 0.000 2.209
5.719 0.000 6.134
2.216 0.000 7.253
8.136 0.000 1.090
```

As for the symmetry: C2/m. For the electronic total energy, the calculation gives -3.87 eV per atom. The calculation puts the total magnetic moment at 0.00 μB per formula unit. The energy relative to the elements is 0.06 eV per atom. Its density of states at the Fermi level is 1.407 states/eV per atom.